A plane-wave DFT calculation with PBE was carried out for a relaxed structure of Al7Co5.

```
Al7Co5
1.0
4.8010 0.0000 0.0000
-2.4005 4.1578 0.0000
0.0000 0.0000 16.0038
Al Co
14 10
Direct
0.3344 0.1672 0.7500 Al
0.6667 0.3333 0.1368 Al
0.6667 0.3333 0.3632 Al
0.8328 0.1672 0.7500 Al
0.3333 0.6667 0.6368 Al
0.8328 0.6656 0.7500 Al
0.1672 0.8328 0.2500 Al
0.1672 0.3344 0.2500 Al
0.0000 0.0000 0.4179 Al
0.6656 0.8328 0.2500 Al
0.3333 0.6667 0.8632 Al
0.0000 0.0000 0.0821 Al
0.0000 0.0000 0.5821 Al
0.0000 0.0000 0.9179 Al
0.5000 0.5000 0.0000 Co
0.0000 0.5000 0.0000 Co
0.3333 0.6667 0.1269 Co
0.3333 0.6667 0.3731 Co
0.5000 0.5000 0.5000 Co
0.0000 0.5000 0.5000 Co
0.6667 0.3333 0.8731 Co
0.5000 0.0000 0.5000 Co
0.6667 0.3333 0.6269 Co
0.5000 0.0000 0.0000 Co
```

Calculated values
* electronic total energy: -125.908 eV per cell
* crystal system: hexagonal
* energy above the lowest structure with this stoichiometry: 0.011 eV/atom